Entry 1:
## MgNpPd6 (PBE)

Data for crystalline MgNpPd6 at its relaxed geometry.

a = 4.086 Å, b = 4.086 Å, c = 7.984 Å
α = 90.00°, β = 90.00°, γ = 90.00°
Space group P4/mmm (No. 123)
Unique sites:
Mg 0.000 0.000 0.000 [1 per cell]
Np 0.000 0.000 0.500 [1 per cell]
Pd 0.000 0.500 0.247 [4 per cell]
Pd 0.500 0.500 0.000 [1 per cell]
Pd 0.500 0.500 0.500 [1 per cell]

Values from the calculation:
- ΔE_f: -0.488 eV/atom
- Total moment: 2.69 μB/cell
- N(E_F): 12.90 states/eV/cell

Entry 2:
## UInAu4 (PBE)

Data for crystalline UInAu4 at its relaxed geometry.

a = 7.973 Å, b = 7.973 Å, c = 7.973 Å
α = 90.00°, β = 90.00°, γ = 90.00°
Space group F-43m (No. 216)
Unique sites:
U 0.000 0.000 0.000 [4 per cell]
In 0.250 0.250 0.250 [4 per cell]
Au 0.125 0.125 0.625 [16 per cell]

Values from the calculation:
- ΔE_f: -0.078 eV/atom
- Total moment: 11.68 μB/cell
- Excess energy over the best structure of this formula in the dataset: 96 meV/atom
- N(E_F): 45.22 states/eV/cell

Entry 3:
## TmZnCu2 (PBE)

Data for crystalline TmZnCu2 at its relaxed geometry.

a = 6.944 Å, b = 4.071 Å, c = 9.377 Å
α = 90.00°, β = 90.00°, γ = 90.00°
Space group Pnma (No. 62)
Unique sites:
Tm 0.227 0.250 0.180 [4 per cell]
Zn 0.053 0.750 0.392 [4 per cell]
Cu 0.069 0.250 0.878 [4 per cell]
Cu 0.238 0.750 0.971 [4 per cell]

Values from the calculation:
- ΔE_f: -0.284 eV/atom
- Total moment: 0.00 μB/cell
- N(E_F): 7.67 states/eV/cell

Entry 4:
## BaCuH3 (PBE)

Data for crystalline BaCuH3 at its relaxed geometry.

a = 3.936 Å, b = 3.936 Å, c = 3.936 Å
α = 90.00°, β = 90.00°, γ = 90.00°
Space group Pm-3m (No. 221)
Unique sites:
Ba 0.000 0.000 0.000 [1 per cell]
Cu 0.500 0.500 0.500 [1 per cell]
H 0.000 0.500 0.500 [3 per cell]

Values from the calculation:
- Total moment: 0.00 μB/cell
- Excess energy over the best structure of this formula in the dataset: 55 meV/atom
- N(E_F): 0.15 states/eV/cell

Entry 5:
## LiCu5Pd2 (PBE)

Data for crystalline LiCu5Pd2 at its relaxed geometry.

a = 5.259 Å, b = 10.550 Å, c = 3.706 Å
α = 90.00°, β = 90.00°, γ = 90.00°
Space group Pbam (No. 55)
Unique sites:
Li 0.000 0.000 0.000 [2 per cell]
Cu 0.000 0.500 0.000 [2 per cell]
Cu 0.015 0.252 0.000 [4 per cell]
Cu 0.235 0.629 0.500 [4 per cell]
Pd 0.235 0.879 0.500 [4 per cell]

Values from the calculation:
- ΔE_f: -0.165 eV/atom
- Total moment: 0.00 μB/cell
- N(E_F): 3.30 states/eV/cell

Entry 6:
## PrDy6Ho3Th2 (PBE)

Data for crystalline PrDy6Ho3Th2 at its relaxed geometry.

a = 6.183 Å, b = 10.699 Å, c = 11.754 Å
α = 90.00°, β = 100.12°, γ = 90.00°
Space group C2/m (No. 12)
Unique sites:
Pr 0.000 0.000 0.000 [2 per cell]
Dy 0.246 0.500 0.250 [4 per cell]
Dy 0.247 0.331 0.750 [8 per cell]
Ho 0.000 0.166 0.500 [4 per cell]
Ho 0.000 0.500 0.500 [2 per cell]
Th 0.000 0.333 0.000 [4 per cell]

Values from the calculation:
- ΔE_f: 0.035 eV/atom
- Total moment: 0.00 μB/cell
- N(E_F): 34.08 states/eV/cell

Entry 7:
## Tl3TeSe (PBE)

Data for crystalline Tl3TeSe at its relaxed geometry.

a = 5.814 Å, b = 5.814 Å, c = 5.814 Å
α = 90.00°, β = 90.00°, γ = 90.00°
Space group Pm-3m (No. 221)
Unique sites:
Tl 0.000 0.000 0.500 [3 per cell]
Te 0.500 0.500 0.500 [1 per cell]
Se 0.000 0.000 0.000 [1 per cell]

Values from the calculation:
- Total moment: 0.00 μB/cell
- Excess energy over the best structure of this formula in the dataset: 244 meV/atom
- N(E_F): 2.68 states/eV/cell
- Formation energy (no corrections): 0.00 eV/atom

Entry 8:
## Pb7C6 (PBE)

Data for crystalline Pb7C6 at its relaxed geometry.

a = 6.8682 Å, b = 6.8682 Å, c = 24.3735 Å
α = 90.00°, β = 90.00°, γ = 120.00°
Space group R-3m (No. 166, hexagonal axes)
Unique sites:
Pb 0.0000 0.0000 0.0000 [3 per cell]
Pb 0.0175 0.5088 0.4279 [18 per cell]
C 0.0000 0.0000 0.1760 [6 per cell]
C 0.0000 0.0000 0.3181 [6 per cell]
C 0.0000 0.0000 0.3708 [6 per cell]

Values from the calculation:
- ΔE_f: 1.452 eV/atom
- Total moment: 0.00 μB/cell
- N(E_F): 15.87 states/eV/cell

Q: total moment of number 8 (Pb7C6)?
A: 0.00 μB/cell